Material: RbCd2CoO4
Method: DFT, PBE with a Hubbard U
State: relaxed

Output
ρ: 5.47 Mg/m³
final energy: -4.5080 eV per atom
magnetization: 4.045 μB per cell
symmetry: I-42m (121)

Cell and atoms, written as POSCAR:
```
RbCd2CoO4
1.0
-2.8274 2.8274 4.1109
2.8274 -2.8274 4.1109
2.8274 2.8274 -4.1109
Rb Cd Co O
1 2 1 4
Direct
0.0000 0.0000 0.0000
0.2500 0.7500 0.5000
0.7500 0.2500 0.5000
0.5000 0.5000 0.0000
0.1744 0.1744 0.6278
0.4534 0.8256 0.0000
0.5466 0.5466 0.3722
0.8256 0.4534 0.0000
```